## 1
Entry from Alexandria via LeMat-Bulk: crystalline K2FeRh at its relaxed geometry (PBE-GGA).

## Properties
Magnetization = 3.39 μB per formula unit

```
4
Lattice="-4.798 -1.191 -3.603 3.885 -4.239 2.087 -1.664 -0.374 2.340" Properties=species:S:1:pos:R:3 pbc="T T T"
K 0.000 0.000 0.000
K -0.456 -2.715 -0.758
Fe 1.111 -2.306 2.214
Rh -3.231 -0.783 -0.632
```

---

## 2
Entry from Alexandria via LeMat-Bulk: crystalline K2FeRh at its relaxed geometry (PBE-GGA).

## Properties
Magnetization = 3.52 μB per formula unit

```
4
Lattice="3.427 0.000 0.000 0.000 3.429 0.000 0.000 0.000 10.024" Properties=species:S:1:pos:R:3 pbc="T T T"
K 1.714 1.714 3.379
K 0.000 0.000 9.160
Fe 1.714 1.714 6.570
Rh 0.000 0.000 5.952
```

---

## 3
Entry from Alexandria via LeMat-Bulk: crystalline K2FeRh at its relaxed geometry (PBE-GGA).

## Properties
Magnetization = 3.90 μB per formula unit

```
4
Lattice="0.000 3.802 3.802 3.802 0.000 3.802 3.802 3.802 0.000" Properties=species:S:1:pos:R:3 pbc="T T T"
K 5.702 5.702 5.702
K 1.901 1.901 1.901
Rh 3.802 3.802 3.802
Fe 0.000 0.000 0.000
```

---

Which of them is most stable, and which least? Most stable: 2; least stable: 3.

---

## 1
Entry from Alexandria via LeMat-Bulk: crystalline K2FeRu at its relaxed geometry (PBE-GGA).

## Properties
Magnetization = 3.97 μB per formula unit

```
8
Lattice="-2.827 10.411 -6.311 -10.171 -5.580 -4.649 -7.675 3.133 -3.769" Properties=species:S:1:pos:R:3 pbc="T T T"
Ru -8.500 7.980 -7.780
Ru 0.000 0.000 0.000
K -12.573 3.096 -7.825
K -4.417 4.604 -4.263
K -15.187 7.642 -11.529
K -9.169 0.585 -5.842
Fe -6.499 2.415 -5.480
Fe -12.173 -0.016 -6.949
```

---

## 2
Entry from Alexandria via LeMat-Bulk: crystalline K2FeRu at its relaxed geometry (PBE-GGA).

## Properties
Magnetization = 4.36 μB per formula unit

```
4
Lattice="5.065 -0.006 0.000 0.015 5.065 0.000 -2.540 -2.530 3.578" Properties=species:S:1:pos:R:3 pbc="T T T"
Ru 2.540 2.530 0.000
K 0.000 0.000 0.000
K 0.008 2.533 1.789
Fe 2.533 -0.003 1.789
```

---

Which of them is most stable, and which least? Most stable: 1; least stable: 2.